Entry from Alexandria: crystalline PPtPbO2 at its relaxed geometry (PBEsol).

The value obtained for the uncorrected formation energy is 0.656 eV/atom. The density of states at the Fermi level is 4.605 states/eV per cell.

Cell lengths 3.883, 3.883, 6.238 Å; angles 90.00, 90.00, 90.00 degrees
Space group P4/mmm (No. 123)
Symmetry-distinct sites (fractional):
P: 0.000 0.000 0.000 [1 per cell]
Pt: 0.500 0.500 0.000 [1 per cell]
Pb: 0.000 0.000 0.500 [1 per cell]
O: 0.000 0.500 0.500 [2 per cell]